A relaxed PrTe3Pb crystal, computed with PBE.

a = 9.9678 Å, b = 9.9678 Å, c = 8.2025 Å
α = 94.74°, β = 94.74°, γ = 27.80°
Last column: nearest neighbours and their distance in Å.
Positions (direct):
Pr 0.2106 0.2106 0.2622  7 Te 3.19-3.46
Pr 0.7894 0.7894 0.7378  7 Te 3.19-3.46
Te 0.0332 0.0332 0.1612  1 Te 2.84
Te 0.1919 0.1919 0.8716  3 Pr 3.19-3.29, 2 Pb 3.25
Te 0.3485 0.3485 0.5303  1 Pb 3.14, 3 Pr 3.20-3.31
Te 0.6515 0.6515 0.4697  1 Pb 3.14, 3 Pr 3.20-3.31
Te 0.8081 0.8081 0.1284  3 Pr 3.19-3.29, 2 Pb 3.25
Te 0.9668 0.9668 0.8388  1 Te 2.84
Pb 0.4201 0.4201 0.2011  5 Te 3.14-3.28
Pb 0.5799 0.5799 0.7989  5 Te 3.14-3.28

Size of the total moment   0.00 μB per cell
Electronic total energy   -43.74 eV for the cell shown